## Li2WF (PBE+U)

Data for a relaxed structure of Li2WF.

Cell and atoms, written as extended XYZ:
```
8
Lattice="-2.985 2.985 4.050 2.985 -2.985 4.050 2.985 2.985 -4.050" Properties=species:S:1:pos:R:3 pbc="T T T"
Li 0.431 1.493 1.013
Li -1.493 2.554 3.038
Li -0.431 4.478 1.013
Li 1.493 3.416 3.038
W 2.985 0.000 2.025
W 0.000 0.000 4.050
F 0.000 0.000 0.000
F 0.000 2.985 2.025
```

Properties
**Theoretical density**: 4.99 g/cm³
**Offset from the most stable computed form**: 0.0 meV per atom
**VASP energy**: -29.9 eV/cell
**V**: 72 Å³/f.u.
**DOS at the Fermi energy**: 1.65 states/eV per cell